Record 1
## Cs2KTlZn (PBE)

Data for Cs2KTlZn after structural relaxation.

Calculated values
Fermi-level density of states, states/eV per cell: 4.62
Space-group type: P4/mmm, No. 123
ΔH_f (0 K), eV/atom: 0.10
ΔE to the lowest computed polymorph, meV/atom: 0.0

Cell and atoms, written as POSCAR:
```
Cs2KTlZn
1.0
-0.7090 5.5524 -4.9094
4.2592 -3.7309 -4.8347
-4.5083 -2.4296 -2.0967
Cs Tl K Zn
2 1 1 1
Direct
0.0000 0.5000 0.0000
0.5000 0.0000 0.0000
0.0000 0.0000 0.5000
0.5000 0.5000 0.5000
0.0000 0.0000 0.0000
```

Record 2
## CsK2TlZn (PBE)

Data for CsK2TlZn after structural relaxation.

Calculated values
Fermi-level density of states, states/eV per cell: 2.84
Space-group type: P4/mmm, No. 123
ΔH_f (0 K), eV/atom: 0.09
ΔE to the lowest computed polymorph, meV/atom: 26.5

Cell and atoms, written as POSCAR:
```
CsK2TlZn
1.0
-5.5713 3.9801 -1.1704
-0.0658 -2.0442 -6.6383
-3.3282 -4.2629 1.3457
Cs Tl K Zn
1 1 2 1
Direct
0.5000 0.5000 0.5000
0.0000 0.0000 0.0000
0.0000 0.5000 0.0000
0.5000 0.0000 0.0000
0.0000 0.0000 0.5000
```

Record 3
## CsK2TlZn (PBE)

Data for CsK2TlZn after structural relaxation.

Calculated values
Fermi-level density of states, states/eV per cell: 2.67
Space-group type: P4/mmm, No. 123
ΔH_f (0 K), eV/atom: 0.06
ΔE to the lowest computed polymorph, meV/atom: 0.0

Cell and atoms, written as POSCAR:
```
CsK2TlZn
1.0
-2.9259 1.6021 5.9024
3.8672 -4.5844 3.1613
3.8727 3.8668 0.8701
Cs Tl K Zn
1 1 2 1
Direct
0.5000 0.5000 0.5000
0.0000 0.0000 0.5000
0.0000 0.5000 0.0000
0.5000 0.0000 0.0000
0.0000 0.0000 0.0000
```

Record 4
## CsK3V (PBE)

Data for CsK3V after structural relaxation.

Calculated values
Fermi-level density of states, states/eV per cell: 10.84
Space-group type: Pm-3m, No. 221
ΔH_f (0 K), eV/atom: 1.24
ΔE to the lowest computed polymorph, meV/atom: 520.9

Cell and atoms, written as POSCAR:
```
CsK3V
1.0
7.5206 0.0000 0.0000
0.0000 7.5206 0.0000
0.0000 0.0000 7.5206
Cs K V
1 3 1
Direct
0.0000 0.0000 0.0000
0.0000 0.5000 0.0000
0.0000 0.0000 0.5000
0.5000 0.0000 0.0000
0.5000 0.5000 0.5000
```

Record 5
## CsK3V (PBE)

Data for CsK3V after structural relaxation.

Calculated values
Fermi-level density of states, states/eV per cell: 6.62
Space-group type: Pm-3m, No. 221
ΔH_f (0 K), eV/atom: 0.72
ΔE to the lowest computed polymorph, meV/atom: 0.0

Cell and atoms, written as POSCAR:
```
CsK3V
1.0
-2.0657 2.4591 -6.1770
-5.4022 -4.3911 0.0585
-3.8753 4.8104 3.2111
Cs K V
1 3 1
Direct
0.5000 0.5000 0.5000
0.0000 0.5000 0.0000
0.0000 0.0000 0.5000
0.5000 0.0000 0.0000
0.0000 0.0000 0.0000
```

Record 6
## Cs3KW (PBE)

Data for Cs3KW after structural relaxation.

Calculated values
Fermi-level density of states, states/eV per cell: 2.05
Space-group type: Pm-3m, No. 221
ΔH_f (0 K), eV/atom: 1.22
ΔE to the lowest computed polymorph, meV/atom: 0.0

Cell and atoms, written as POSCAR:
```
Cs3KW
1.0
7.5854 0.0000 0.0000
0.0000 7.5854 0.0000
0.0000 0.0000 7.5854
Cs K W
3 1 1
Direct
0.0000 0.5000 0.0000
0.0000 0.0000 0.5000
0.5000 0.0000 0.0000
0.5000 0.5000 0.5000
0.0000 0.0000 0.0000
```

Record 7
## Cs3KW (PBE)

Data for Cs3KW after structural relaxation.

Calculated values
Fermi-level density of states, states/eV per cell: 5.30
Space-group type: Pm-3m, No. 221
ΔH_f (0 K), eV/atom: 1.63
ΔE to the lowest computed polymorph, meV/atom: 410.2

Cell and atoms, written as POSCAR:
```
Cs3KW
1.0
7.5280 0.0000 0.0000
0.0000 7.5280 0.0000
0.0000 0.0000 7.5280
Cs K W
3 1 1
Direct
0.0000 0.5000 0.0000
0.0000 0.0000 0.5000
0.5000 0.0000 0.0000
0.0000 0.0000 0.0000
0.5000 0.5000 0.5000
```

Record 8
## CsK3W (PBE)

Data for CsK3W after structural relaxation.

Calculated values
Fermi-level density of states, states/eV per cell: 5.26
Space-group type: Pm-3m, No. 221
ΔH_f (0 K), eV/atom: 1.81
ΔE to the lowest computed polymorph, meV/atom: 581.3

Cell and atoms, written as POSCAR:
```
CsK3W
1.0
-4.7235 5.7773 1.1990
-3.6550 -4.0706 5.2151
4.6320 2.6794 5.3377
Cs K W
1 3 1
Direct
0.0000 0.0000 0.0000
0.0000 0.5000 0.0000
0.0000 0.0000 0.5000
0.5000 0.0000 0.0000
0.5000 0.5000 0.5000
```

Record 9
## CsK3W (PBE)

Data for CsK3W after structural relaxation.

Calculated values
Fermi-level density of states, states/eV per cell: 3.67
Space-group type: Pm-3m, No. 221
ΔH_f (0 K), eV/atom: 1.22
ΔE to the lowest computed polymorph, meV/atom: 0.0

Cell and atoms, written as POSCAR:
```
CsK3W
1.0
7.0433 0.0000 0.0000
0.0000 7.0433 0.0000
0.0000 0.0000 7.0433
Cs K W
1 3 1
Direct
0.5000 0.5000 0.5000
0.0000 0.5000 0.0000
0.0000 0.0000 0.5000
0.5000 0.0000 0.0000
0.0000 0.0000 0.0000
```

Record 10
## CsK3Y (PBE)

Data for CsK3Y after structural relaxation.

Calculated values
Fermi-level density of states, states/eV per cell: 11.23
Space-group type: Pm-3m, No. 221
ΔH_f (0 K), eV/atom: 0.91

Cell and atoms, written as POSCAR:
```
CsK3Y
1.0
7.1305 0.0000 0.0000
0.0000 7.1305 0.0000
0.0000 0.0000 7.1305
Cs Y K
1 1 3
Direct
0.0000 0.0000 0.0000
0.5000 0.5000 0.5000
0.0000 0.5000 0.0000
0.0000 0.0000 0.5000
0.5000 0.0000 0.0000
```

Record 11
## CsKY3 (PBE)

Data for CsKY3 after structural relaxation.

Calculated values
Fermi-level density of states, states/eV per cell: 6.94
Space-group type: Pm-3m, No. 221
ΔH_f (0 K), eV/atom: 1.19
ΔE to the lowest computed polymorph, meV/atom: 0.0

Cell and atoms, written as POSCAR:
```
CsKY3
1.0
-0.4332 -0.9022 5.8308
5.6826 -1.6369 0.1689
1.5875 5.6130 0.9865
Cs Y K
1 3 1
Direct
0.0000 0.0000 0.0000
0.0000 0.5000 0.0000
0.0000 0.0000 0.5000
0.5000 0.0000 0.0000
0.5000 0.5000 0.5000
```

Record 12
## CsKZn (PBE)

Data for CsKZn after structural relaxation.

Calculated values
Fermi-level density of states, states/eV per cell: 2.32
Space-group type: I4mm, No. 107
ΔH_f (0 K), eV/atom: 0.15
ΔE to the lowest computed polymorph, meV/atom: 59.9

Cell and atoms, written as POSCAR:
```
CsKZn
1.0
-1.9670 3.6247 2.0132
-3.1689 0.1227 -3.3172
-2.0964 -6.7790 4.9264
Cs Zn K
1 1 1
Direct
0.0304 0.0304 0.0609
0.6762 0.6762 0.3524
0.2934 0.2934 0.5867
```